Compound: Tl2SiTe4
Source: Alexandria via LeMat-Bulk
Functional: GGA-PBE
Structure: relaxed

Geometry as POSCAR:
```
Tl2SiTe4
1.0
7.5430 0.0000 0.0000
0.0000 7.5430 0.0000
0.0000 0.0000 10.6389
Tl Si Te
4 2 8
direct
0.0000 0.5000 0.2500
0.0000 0.5000 0.7500
0.5000 0.0000 0.2500
0.5000 0.0000 0.7500
0.0000 0.0000 0.0000
0.5000 0.5000 0.5000
0.2133 0.2133 0.1019
0.2133 0.7867 0.8981
0.2867 0.2867 0.6019
0.2867 0.7133 0.3981
0.7133 0.2867 0.3981
0.7133 0.7133 0.6019
0.7867 0.2133 0.8981
0.7867 0.7867 0.1019
```

Results
crystal system = tetragonal
formation energy without anion corrections = -74 meV per atom
space-group type = I-42m
Fermi-level density of states = 0.224 states/eV/atom

=====

Compound: Pr2NdHo3Bi6
Source: Alexandria via LeMat-Bulk
Functional: GGA-PBE
Structure: relaxed

Geometry as POSCAR:
```
Pr2NdHo3Bi6
1.0
9.9012 -2.2748 0.0000
9.9012 2.2748 0.0000
-2.0587 0.0000 8.8511
Pr Nd Ho Bi
2 1 3 6
direct
0.1665 0.1665 0.3329
0.8335 0.8335 0.6671
0.5000 0.5000 0.0000
0.1669 0.1669 0.8332
0.5000 0.5000 0.5000
0.8331 0.8331 0.1668
0.0028 0.0028 0.7448
0.3312 0.3312 0.9239
0.3360 0.3360 0.4103
0.6640 0.6640 0.5897
0.6688 0.6688 0.0761
0.9972 0.9972 0.2552
```

Results
crystal system = monoclinic
space-group type = C2/m
Fermi-level density of states = 0.168 states/eV/atom
formation energy = -0.89 eV per atom

=====

Compound: Mn2ZnCdS
Source: Alexandria via LeMat-Bulk
Functional: GGA-PBE
Structure: relaxed

Geometry as POSCAR:
```
Mn2ZnCdS
1.0
5.0813 0.0000 0.0000
0.0000 5.0813 0.0000
0.0000 0.0000 4.8076
Mn Zn Cd S
2 1 1 1
direct
0.0000 0.5000 0.0000
0.5000 0.0000 0.0000
0.0000 0.0000 0.5000
0.0000 0.0000 0.0000
0.5000 0.5000 0.5000
```

Results
crystal system = tetragonal
formation energy without anion corrections = 1008 meV per atom
space-group type = P4/mmm
Fermi-level density of states = 0.544 states/eV/atom

=====

Compound: Pr3Ho12Tm
Source: Alexandria via LeMat-Bulk
Functional: GGA-PBE
Structure: relaxed

Geometry as POSCAR:
```
Pr3Ho12Tm
1.0
5.0307 0.0000 0.0000
0.0000 5.0307 0.0000
0.0000 0.0000 20.1255
Pr Ho Tm
3 12 1
direct
0.0000 0.0000 0.0000
0.0000 0.0000 0.2510
0.0000 0.0000 0.7490
0.0000 0.5000 0.1259
0.0000 0.5000 0.3777
0.0000 0.5000 0.6223
0.0000 0.5000 0.8741
0.5000 0.0000 0.1259
0.5000 0.0000 0.3777
0.5000 0.0000 0.6223
0.5000 0.0000 0.8741
0.5000 0.5000 0.0000
0.5000 0.5000 0.2520
0.5000 0.5000 0.5000
0.5000 0.5000 0.7480
0.0000 0.0000 0.5000
```

Results
crystal system = tetragonal
space-group type = P4/mmm
Fermi-level density of states = 1.378 states/eV/atom
formation energy = 0.02 eV per atom

=====

Compound: LaMn3In
Source: Alexandria via LeMat-Bulk
Functional: GGA-PBE
Structure: relaxed

Geometry as POSCAR:
```
LaMn3In
1.0
4.8439 0.0000 0.0000
0.0000 4.8439 0.0000
0.0000 0.0000 4.8439
La Mn In
1 3 1
direct
0.0000 0.0000 0.0000
0.0000 0.0000 0.5000
0.0000 0.5000 0.0000
0.5000 0.0000 0.0000
0.5000 0.5000 0.5000
```

Results
crystal system = cubic
space-group type = Pm-3m
Fermi-level density of states = 0.781 states/eV/atom
formation energy = 1.42 eV per atom

=====

Compound: CuSbTeN2
Source: Alexandria via LeMat-Bulk
Functional: GGA-PBE
Structure: relaxed

Geometry as POSCAR:
```
CuSbTeN2
1.0
4.1479 0.0000 0.0000
0.0000 4.1479 0.0000
0.0000 0.0000 5.2836
Cu Sb Te N
1 1 1 2
direct
0.0000 0.0000 0.0000
0.5000 0.5000 0.5000
0.0000 0.0000 0.5000
0.0000 0.5000 0.0000
0.5000 0.0000 0.0000
```

Results
crystal system = tetragonal
formation energy without anion corrections = 1549 meV per atom
space-group type = P4/mmm
Fermi-level density of states = 0.453 states/eV/atom

=====

- What is the Fermi-level density of states in the second record?
  0.168 states/eV/atom

=====

- The highest Fermi-level density of states belongs to which entry?
  Pr3Ho12Tm

=====

- Number 6 is which compound?
  CuSbTeN2